1.
The following is a DFT calculation (PBE-GGA) of crystalline Tl2CoNiS4 at its relaxed geometry.

Calculated values
As for the raw formation energy: -0.2695 eV/atom. Its density of states at the Fermi level is 8.8 states/eV/cell. Its crystal system is orthorhombic.

a = 12.550 Å, b = 10.971 Å, c = 7.137 Å
α = 84.95°, β = 60.55°, γ = 34.50°
Sites, in units of the cell vectors:
Tl (0.060, 0.060, 0.690)
Tl (0.310, 0.310, 0.940)
Tl (0.690, 0.690, 0.060)
Tl (0.940, 0.940, 0.310)
Co (0.375, 0.375, 0.375)
Co (0.625, 0.625, 0.625)
Ni (0.125, 0.125, 0.125)
Ni (0.875, 0.875, 0.875)
S (0.015, 0.347, 0.419)
S (0.281, 0.581, 0.653)
S (0.347, 0.015, 0.719)
S (0.419, 0.719, 0.015)
S (0.581, 0.281, 0.985)
S (0.653, 0.985, 0.281)
S (0.719, 0.419, 0.347)
S (0.985, 0.653, 0.581)



2.
The following is a DFT calculation (PBE-GGA) of crystalline TlCoNiS2 at its relaxed geometry.

Calculated values
As for the raw formation energy: -0.3325 eV/atom. Its density of states at the Fermi level is 3.2 states/eV/cell. Its crystal system is tetragonal.

a = 7.228 Å, b = 7.228 Å, c = 7.228 Å
α = 150.15°, β = 150.15°, γ = 42.72°
Sites, in units of the cell vectors:
Tl (0.000, 0.000, 0.000)
Co (0.250, 0.750, 0.500)
Ni (0.750, 0.250, 0.500)
S (0.345, 0.345, 0.000)
S (0.655, 0.655, 0.000)



3.
The following is a DFT calculation (PBE-GGA) of crystalline VCoNiS4 at its relaxed geometry.

Calculated values
As for the raw formation energy: -0.5873 eV/atom. Its density of states at the Fermi level is 11.4 states/eV/cell. Its crystal system is orthorhombic.

a = 6.743 Å, b = 6.743 Å, c = 6.743 Å
α = 121.81°, β = 118.18°, γ = 90.04°
Sites, in units of the cell vectors:
V (0.500, 0.000, 0.000)
V (0.500, 0.500, 0.500)
Co (0.000, 0.000, 0.000)
Co (0.500, 0.000, 0.500)
Ni (0.122, 0.372, 0.750)
Ni (0.878, 0.628, 0.250)
S (0.246, 0.241, 0.005)
S (0.252, 0.233, 0.481)
S (0.252, 0.771, 0.019)
S (0.264, 0.759, 0.505)
S (0.736, 0.241, 0.495)
S (0.748, 0.229, 0.981)
S (0.748, 0.767, 0.519)
S (0.754, 0.759, 0.995)